Entry 1:
Density functional theory data (meta-GGA SCAN) for a PBEsol-optimized structure of TiO2.

a b c (Å): 4.786 4.869 5.006
angles (deg): 90.00 100.04 90.00
Element x y z (fractional)
Ti (0.221, 0.054, 0.287)
Ti (0.221, 0.446, 0.787)
Ti (0.779, 0.554, 0.213)
Ti (0.779, 0.946, 0.713)
O (0.057, 0.741, 0.529)
O (0.057, 0.759, 0.029)
O (0.434, 0.171, 0.654)
O (0.434, 0.329, 0.154)
O (0.566, 0.671, 0.846)
O (0.566, 0.829, 0.346)
O (0.943, 0.241, 0.971)
O (0.943, 0.259, 0.471)

Summary:
M_tot = 0.0 μB per formula unit
Formation energy without anion corrections = -3290 meV/atom

***

Entry 2:
Density functional theory data (meta-GGA SCAN) for a PBEsol-optimized structure of TiO2.

a b c (Å): 7.226 7.226 4.710
angles (deg): 91.33 91.33 23.58
Element x y z (fractional)
Ti (0.000, 0.000, 0.000)
Ti (0.342, 0.342, 0.485)
Ti (0.658, 0.658, 0.515)
O (0.098, 0.098, 0.304)
O (0.224, 0.224, 0.702)
O (0.437, 0.437, 0.188)
O (0.563, 0.563, 0.812)
O (0.776, 0.776, 0.298)
O (0.902, 0.902, 0.696)

Summary:
M_tot = 0.0 μB per formula unit
Formation energy without anion corrections = -3275 meV/atom

***

Entry 3:
Density functional theory data (meta-GGA SCAN) for a PBEsol-optimized structure of Ti19O30.

a b c (Å): 5.038 5.457 20.910
angles (deg): 94.24 90.01 117.44
Element x y z (fractional)
Ti (0.000, 0.000, 0.000)
Ti (0.029, 0.059, 0.860)
Ti (0.095, 0.187, 0.297)
Ti (0.120, 0.267, 0.164)
Ti (0.196, 0.394, 0.598)
Ti (0.227, 0.453, 0.459)
Ti (0.299, 0.599, 0.900)
Ti (0.329, 0.658, 0.760)
Ti (0.428, 0.854, 0.066)
Ti (0.494, 0.994, 0.497)
Ti (0.528, 0.041, 0.357)
Ti (0.598, 0.196, 0.798)
Ti (0.628, 0.257, 0.660)
Ti (0.700, 0.397, 0.098)
Ti (0.730, 0.459, 0.960)
Ti (0.795, 0.590, 0.395)
Ti (0.825, 0.657, 0.253)
Ti (0.897, 0.795, 0.698)
Ti (0.927, 0.856, 0.559)
O (0.044, 0.438, 0.243)
O (0.048, 0.723, 0.478)
O (0.095, 0.855, 0.340)
O (0.111, 0.989, 0.214)
O (0.123, 0.582, 0.112)
O (0.176, 0.729, 0.980)
O (0.253, 0.136, 0.079)
O (0.277, 0.866, 0.842)
O (0.288, 0.265, 0.941)
O (0.338, 0.989, 0.717)
O (0.350, 0.390, 0.817)
O (0.373, 0.125, 0.579)
O (0.450, 0.526, 0.679)
O (0.478, 0.262, 0.440)
O (0.485, 0.663, 0.541)
O (0.535, 0.374, 0.315)
O (0.554, 0.786, 0.418)
O (0.568, 0.497, 0.177)
O (0.658, 0.899, 0.288)
O (0.676, 0.665, 0.040)
O (0.718, 0.072, 0.134)
O (0.738, 0.183, 0.015)
O (0.742, 0.792, 0.917)
O (0.776, 0.927, 0.779)
O (0.854, 0.330, 0.878)
O (0.875, 0.063, 0.641)
O (0.888, 0.465, 0.741)
O (0.936, 0.188, 0.516)
O (0.949, 0.589, 0.616)
O (0.975, 0.321, 0.379)

Summary:
M_tot = 0.0 μB per formula unit
Formation energy without anion corrections = -3190 meV/atom

***

Entry 4:
Density functional theory data (meta-GGA SCAN) for a PBEsol-optimized structure of Ti8O15.

a b c (Å): 5.513 7.121 13.333
angles (deg): 100.34 96.47 108.56
Element x y z (fractional)
Ti (0.011, 0.309, 0.307)
Ti (0.012, 0.812, 0.309)
Ti (0.277, 0.280, 0.952)
Ti (0.277, 0.778, 0.956)
Ti (0.331, 0.898, 0.565)
Ti (0.332, 0.398, 0.564)
Ti (0.355, 0.527, 0.180)
Ti (0.357, 0.030, 0.179)
Ti (0.643, 0.970, 0.821)
Ti (0.645, 0.473, 0.820)
Ti (0.668, 0.602, 0.436)
Ti (0.669, 0.102, 0.435)
Ti (0.723, 0.222, 0.044)
Ti (0.723, 0.720, 0.048)
Ti (0.988, 0.188, 0.691)
Ti (0.989, 0.691, 0.693)
O (0.013, 0.148, 0.840)
O (0.035, 0.775, 0.446)
O (0.073, 0.358, 0.048)
O (0.081, 0.945, 0.652)
O (0.103, 0.566, 0.257)
O (0.232, 0.639, 0.611)
O (0.270, 0.266, 0.217)
O (0.277, 0.826, 0.821)
O (0.305, 0.432, 0.423)
O (0.311, 0.059, 0.024)
O (0.352, 0.354, 0.711)
O (0.379, 0.980, 0.313)
O (0.411, 0.549, 0.919)
O (0.414, 0.762, 0.107)
O (0.428, 0.154, 0.523)
O (0.572, 0.846, 0.477)
O (0.586, 0.238, 0.893)
O (0.589, 0.451, 0.081)
O (0.621, 0.020, 0.687)
O (0.648, 0.646, 0.289)
O (0.689, 0.941, 0.976)
O (0.695, 0.568, 0.577)
O (0.723, 0.174, 0.179)
O (0.730, 0.734, 0.783)
O (0.768, 0.361, 0.389)
O (0.897, 0.434, 0.743)
O (0.919, 0.055, 0.348)
O (0.927, 0.642, 0.952)
O (0.965, 0.225, 0.554)
O (0.987, 0.852, 0.160)

Summary:
M_tot = 1.3 μB per formula unit
Formation energy without anion corrections = -3295 meV/atom

***

Entry 5:
Density functional theory data (meta-GGA SCAN) for a PBEsol-optimized structure of Ti11O18.

a b c (Å): 5.457 7.414 8.694
angles (deg): 113.03 105.44 96.32
Element x y z (fractional)
Ti (0.000, 0.000, 0.000)
Ti (0.001, 0.496, 0.996)
Ti (0.274, 0.859, 0.346)
Ti (0.279, 0.367, 0.333)
Ti (0.331, 0.334, 0.661)
Ti (0.600, 0.178, 0.980)
Ti (0.603, 0.690, 0.989)
Ti (0.659, 0.661, 0.326)
Ti (0.662, 0.165, 0.330)
Ti (0.950, 0.017, 0.667)
Ti (0.957, 0.541, 0.664)
O (0.008, 0.304, 0.103)
O (0.030, 0.329, 0.454)
O (0.033, 0.321, 0.765)
O (0.229, 0.044, 0.555)
O (0.236, 0.044, 0.880)
O (0.264, 0.053, 0.229)
O (0.334, 0.630, 0.776)
O (0.350, 0.648, 0.413)
O (0.366, 0.661, 0.121)
O (0.573, 0.363, 0.222)
O (0.578, 0.368, 0.539)
O (0.598, 0.389, 0.892)
O (0.680, 0.969, 0.436)
O (0.697, 0.990, 0.100)
O (0.725, 0.010, 0.797)
O (0.905, 0.719, 0.554)
O (0.906, 0.699, 0.893)
O (0.906, 0.700, 0.203)

Summary:
M_tot = 0.0 μB per formula unit
Formation energy without anion corrections = -3204 meV/atom

***

Entry 6:
Density functional theory data (meta-GGA SCAN) for a PBEsol-optimized structure of Ti2O3.

a b c (Å): 7.787 2.822 8.087
angles (deg): 90.00 90.00 90.00
Element x y z (fractional)
Ti (0.029, 0.250, 0.185)
Ti (0.196, 0.250, 0.518)
Ti (0.304, 0.750, 0.018)
Ti (0.471, 0.750, 0.685)
Ti (0.529, 0.250, 0.315)
Ti (0.696, 0.250, 0.982)
Ti (0.804, 0.750, 0.482)
Ti (0.971, 0.750, 0.815)
O (0.057, 0.750, 0.375)
O (0.121, 0.250, 0.948)
O (0.208, 0.750, 0.691)
O (0.292, 0.250, 0.191)
O (0.379, 0.750, 0.448)
O (0.443, 0.250, 0.875)
O (0.557, 0.750, 0.125)
O (0.621, 0.250, 0.552)
O (0.708, 0.750, 0.809)
O (0.792, 0.250, 0.309)
O (0.879, 0.750, 0.052)
O (0.943, 0.250, 0.625)

Summary:
M_tot = 0.0 μB per formula unit
Formation energy without anion corrections = -3174 meV/atom

***

Q: Which value of formation energy without anion corrections does entry 6 give?
A: -3174 meV/atom

***

Q: Look up the M_tot of the third one.
A: 0.0 μB per formula unit

***

Q: Which formula does entry 6 have?
A: Ti2O3

***

Q: Which value of formation energy without anion corrections does entry 5 give?
A: -3204 meV/atom